(1)
DFT (PBE) results for a relaxed structure of Ga2CuSn2Pd5.

The structure in POSCAR format:
```
Ga2CuSn2Pd5
1.0
10.1390 0.0000 0.0000
0.0000 10.1390 0.0000
0.0000 0.0000 3.3202
Ga Cu Sn Pd
4 2 4 10
Direct
0.1421 0.3579 0.0000 Ga
0.3579 0.8579 0.0000 Ga
0.6421 0.1421 0.0000 Ga
0.8579 0.6421 0.0000 Ga
0.0000 0.0000 0.0000 Cu
0.5000 0.5000 0.0000 Cu
0.1699 0.6699 0.0000 Sn
0.3301 0.1699 0.0000 Sn
0.6699 0.8301 0.0000 Sn
0.8301 0.3301 0.0000 Sn
0.0000 0.5000 0.5000 Pd
0.0127 0.2059 0.5000 Pd
0.2059 0.9873 0.5000 Pd
0.2941 0.4873 0.5000 Pd
0.4873 0.7059 0.5000 Pd
0.5000 0.0000 0.5000 Pd
0.5127 0.2941 0.5000 Pd
0.7059 0.5127 0.5000 Pd
0.7941 0.0127 0.5000 Pd
0.9873 0.7941 0.5000 Pd
```

Calculated values
The calculated volume is 17.07 A^3/atom. Its total magnetization is 0.00 μB per cell. The calculated total energy is -4.7636 eV per atom. The formation energy comes out at -0.3517 eV/atom. As for the density of states at the Fermi level: 7.93 states/eV per cell.

***

(2)
DFT (PBE) results for a relaxed structure of BeCuIO2.

The structure in POSCAR format:
```
BeCuIO2
1.0
3.6639 0.0000 0.0000
0.0000 3.6639 0.0000
0.0000 0.0000 6.4019
Be Cu I O
1 1 1 2
Direct
0.0000 0.0000 0.0000 Be
0.5000 0.5000 0.5000 Cu
0.5000 0.5000 0.0000 I
0.0000 0.5000 0.5000 O
0.5000 0.0000 0.5000 O
```

Calculated values
The formation energy from raw total energies is 1.510 eV/f.u. The calculated volume is 17.19 A^3/atom. Its total magnetization is 1.18 μB per cell. The calculated total energy is -3.5558 eV per atom. The calculation puts the energy relative to the lowest polymorph listed for this composition at 524 meV per atom. As for the density of states at the Fermi level: 3.58 states/eV per cell.

***

(3)
DFT (PBE) results for a relaxed structure of HoScZnNi.

The structure in POSCAR format:
```
HoScZnNi
1.0
3.3453 0.0000 0.0000
0.0000 3.3453 0.0000
0.0000 0.0000 6.7765
Ho Sc Zn Ni
1 1 1 1
Direct
0.0000 0.0000 0.0000 Ho
0.0000 0.0000 0.4657 Sc
0.5000 0.5000 0.7079 Zn
0.5000 0.5000 0.2579 Ni
```

Calculated values
The calculated volume is 18.96 A^3/atom. Its total magnetization is 0.00 μB per cell. The calculated total energy is -4.8921 eV per atom. The calculation puts the energy relative to the lowest polymorph listed for this composition at 0 meV per atom. The formation energy comes out at -0.4010 eV/atom. As for the density of states at the Fermi level: 3.71 states/eV per cell.